DFT (PBE) results for an optimized crystal structure of Rb4AgCl.

The structure in POSCAR format:
```
Rb4AgCl
1.0
5.873 -5.897 0.000
5.873 5.897 0.000
0.000 0.000 5.011
Rb Ag Cl
4 1 1
Direct
0.213 0.787 0.000
0.307 0.307 0.500
0.693 0.693 0.500
0.787 0.213 0.000
0.000 0.000 0.500
0.500 0.500 0.000
```

Computed properties:
**DFT total energy**: -1.9809 eV per atom